[1]
A plane-wave DFT calculation with PBE-GGA was carried out for a geometry-optimized La3Pr4Ga structure.

The space group is P4/mmm (No. 123) and the conventional cell measures 3.735, 3.735 and 19.450 Å, with angles of 90.00, 90.00 and 90.00 degrees. Symmetry generates all atoms from La at (0.000, 0.000, 0.000), La at (0.000, 0.000, 0.270), Pr at (0.500, 0.500, 0.135), Pr at (0.500, 0.500, 0.406) and Ga at (0.000, 0.000, 0.500).

The calculation puts the energy of formation from the pure elements at -0.12 eV/atom. Its spin magnetization is 0.00 μB per formula unit.



[2]
A plane-wave DFT calculation with PBE-GGA was carried out for a geometry-optimized SiBi2Pb2 structure.

The space group is P4/mbm (No. 127) and the conventional cell measures 7.661, 7.661 and 5.370 Å, with angles of 90.00, 90.00 and 90.00 degrees. Symmetry generates all atoms from Si at (0.000, 0.000, 0.000), Bi at (0.145, 0.355, 0.000) and Pb at (0.183, 0.683, 0.500).

As for the uncorrected formation energy: 0.359 eV/atom. Its spin magnetization is 0.00 μB per formula unit.



[3]
A plane-wave DFT calculation with PBE-GGA was carried out for a geometry-optimized RbBaCoC2 structure.

The space group is P4/mmm (No. 123) and the conventional cell measures 4.854, 4.854 and 6.090 Å, with angles of 90.00, 90.00 and 90.00 degrees. Symmetry generates all atoms from Rb at (0.000, 0.000, 0.000), Ba at (0.000, 0.000, 0.500), Co at (0.500, 0.500, 0.500) and C at (0.000, 0.500, 0.000).

The calculation puts the energy of formation from the pure elements at 3.23 eV/atom. Its spin magnetization is 3.57 μB per formula unit.



[4]
A plane-wave DFT calculation with PBE-GGA was carried out for a geometry-optimized BaMgTl2In4 structure.

The space group is R-3m (No. 166, hexagonal axes) and the conventional cell measures 5.3707, 5.3707 and 28.8612 Å, with angles of 90.00, 90.00 and 120.00 degrees. Symmetry generates all atoms from Ba at (0.0000, 0.0000, 0.0000), Mg at (0.0000, 0.0000, 0.5000), Tl at (0.0000, 0.0000, 0.2495), In at (0.0000, 0.0000, 0.1341) and In at (0.0000, 0.0000, 0.3989).

The calculation puts the energy of formation from the pure elements at -0.14 eV/atom. Its spin magnetization is 0.00 μB per formula unit.



[5]
A plane-wave DFT calculation with PBE-GGA was carried out for a geometry-optimized RbSr2SbO structure.

The space group is P4/mmm (No. 123) and the conventional cell measures 6.702, 6.702 and 4.534 Å, with angles of 90.00, 90.00 and 90.00 degrees. Symmetry generates all atoms from Rb at (0.000, 0.000, 0.000), Sr at (0.000, 0.500, 0.500), Sb at (0.500, 0.500, 0.500) and O at (0.500, 0.500, 0.000).

For the relative energy among the computed polymorphs, the calculation gives 1226 meV per atom. As for the uncorrected formation energy: -0.173 eV/atom. Its spin magnetization is 0.25 μB per formula unit.



[6]
A plane-wave DFT calculation with PBE-GGA was carried out for a geometry-optimized ZrNi5P2 structure.

The space group is Immm (No. 71) and the conventional cell measures 3.605, 6.475 and 8.548 Å, with angles of 90.00, 90.00 and 90.00 degrees. Symmetry generates all atoms from Zr at (0.000, 0.000, 0.000), Ni at (0.000, 0.192, 0.349), Ni at (0.000, 0.500, 0.000) and P at (0.000, 0.500, 0.253).

The calculation puts the energy of formation from the pure elements at -0.65 eV/atom. Its spin magnetization is 0.00 μB per formula unit.